#i
Entry from the Alexandria database: an optimized crystal structure of Sc2SiTe (PBEsol).

Cell: 6.905 6.905 6.905 Å, 90.00 90.00 90.00°
Space group Fm-3m (No. 225)
One atom of each set of equivalent atoms:
Sc  0.250  0.250  0.250 x8
Si  0.000  0.000  0.000 x4
Te  0.000  0.000  0.500 x4

Spin magnetization, μB/f.u.: 0.0

***

#ii
Entry from the Alexandria database: an optimized crystal structure of Sc2SiTe (PBEsol).

Cell: 3.9278 3.9278 19.8710 Å, 90.00 90.00 120.00°
Space group R-3m (No. 166, hexagonal axes)
One atom of each set of equivalent atoms:
Sc  0.0000  0.0000  0.2395 x6
Si  0.0000  0.0000  0.5000 x3
Te  0.0000  0.0000  0.0000 x3

Spin magnetization, μB/f.u.: 0.0

***

Which one sits at the bottom of the stability order? #i does.

***

#i
Entry from the Alexandria database: an optimized crystal structure of Sc2TiSi2 (PBEsol).

Cell: 6.766 6.766 3.820 Å, 90.00 90.00 90.00°
Space group P4/mbm (No. 127)
One atom of each set of equivalent atoms:
Sc  0.174  0.326  0.000 x4
Ti  0.000  0.000  0.500 x2
Si  0.127  0.627  0.500 x4

Spin magnetization, μB/f.u.: 0.7

***

#ii
Entry from the Alexandria database: an optimized crystal structure of Sc2TiSi2 (PBEsol).

Cell: 3.368 3.368 16.961 Å, 90.00 90.00 90.00°
Space group I4/mmm (No. 139)
One atom of each set of equivalent atoms:
Sc  0.000  0.000  0.115 x4
Ti  0.000  0.000  0.500 x2
Si  0.000  0.500  0.250 x4

Spin magnetization, μB/f.u.: 0.0

***

Which one sits at the bottom of the stability order? #ii does.

***

#i
Entry from the Alexandria database: an optimized crystal structure of ScTlSi2 (PBEsol).

Cell: 3.6137 3.6137 22.1872 Å, 90.00 90.00 120.00°
Space group R3m (No. 160, hexagonal axes)
One atom of each set of equivalent atoms:
Sc  0.0000  0.0000  0.0000 x3
Tl  0.0000  0.0000  0.2295 x3
Si  0.0000  0.0000  0.4596 x3
Si  0.0000  0.0000  0.7446 x3

Spin magnetization, μB/f.u.: 0.0

***

#ii
Entry from the Alexandria database: an optimized crystal structure of ScTlSi2 (PBEsol).

Cell: 4.080 4.080 8.775 Å, 90.00 90.00 90.00°
Space group I4/mmm (No. 139)
One atom of each set of equivalent atoms:
Sc  0.000  0.000  0.000 x2
Tl  0.000  0.000  0.500 x2
Si  0.000  0.500  0.250 x4

Spin magnetization, μB/f.u.: 0.0

***

Which one sits at the bottom of the stability order? #i does.

***

#i
Entry from the Alexandria database: an optimized crystal structure of ScSiW2 (PBEsol).

Cell: 2.758 2.758 8.362 Å, 90.00 90.00 90.00°
Space group P4/mmm (No. 123)
One atom of each set of equivalent atoms:
Sc  0.000  0.000  0.000 x1
Si  0.000  0.000  0.500 x1
W  0.500  0.500  0.279 x2

Spin magnetization, μB/f.u.: 0.0

***

#ii
Entry from the Alexandria database: an optimized crystal structure of ScSiW2 (PBEsol).

Cell: 9.295 3.313 4.472 Å, 90.00 112.82 90.00°
Space group Cm (No. 8)
One atom of each set of equivalent atoms:
Sc  0.000  0.000  0.000 x2
Si  0.234  0.000  0.718 x2
W  0.261  0.500  0.253 x2
W  0.492  0.000  0.507 x2

Spin magnetization, μB/f.u.: 0.0

***

Which one sits at the bottom of the stability order? #i does.

***

#i
Entry from the Alexandria database: an optimized crystal structure of YScSi2 (PBEsol).

Cell: 6.781 6.781 6.781 Å, 90.00 90.00 90.00°
Space group Fm-3m (No. 225)
One atom of each set of equivalent atoms:
Y  0.000  0.000  0.000 x4
Sc  0.000  0.000  0.500 x4
Si  0.250  0.250  0.250 x8

Spin magnetization, μB/f.u.: 0.0

***

#ii
Entry from the Alexandria database: an optimized crystal structure of YScSi2 (PBEsol).

Cell: 3.722 4.100 10.166 Å, 90.00 90.00 90.00°
Space group Amm2 (No. 38)
One atom of each set of equivalent atoms:
Y  0.000  0.000  0.000 x2
Sc  0.500  0.000  0.280 x2
Si  0.000  0.000  0.721 x2
Si  0.500  0.000  0.565 x2

Spin magnetization, μB/f.u.: 0.0

***

Which one sits at the bottom of the stability order? #i does.

***

#i
Entry from the Alexandria database: an optimized crystal structure of Sm3Sc (PBEsol).

Cell: 7.0378 7.0378 5.5458 Å, 90.00 90.00 120.00°
Space group P6_3/mmc (No. 194)
One atom of each set of equivalent atoms:
Sm  0.1695  0.3391  0.2500 x6
Sc  0.3333  0.6667  0.7500 x2

Spin magnetization, μB/f.u.: 0.0

***

#ii
Entry from the Alexandria database: an optimized crystal structure of Sm3Sc (PBEsol).

Cell: 4.915 4.915 9.710 Å, 90.00 90.00 90.00°
Space group I4/mmm (No. 139)
One atom of each set of equivalent atoms:
Sm  0.000  0.000  0.000 x2
Sm  0.000  0.500  0.250 x4
Sc  0.000  0.000  0.500 x2

Spin magnetization, μB/f.u.: 0.0

***

Which one sits at the bottom of the stability order? #i does.